FeRe2P | PBE | optimized geometry

Cell lengths 2.737, 2.737, 8.020 Å; angles 90.00, 90.00, 114.80 degrees
Each line ends with the local moment (μB).
Fractional positions:
Fe: 0.000 0.000 0.527  1.87
P: 0.500 0.500 0.738  -0.02
Re: 0.000 0.000 0.975  -0.01
Re: 0.500 0.500 0.260  0.08

Properties
The value obtained for the formation energy is 307 meV/atom. The value obtained for the total energy is -37.54 eV per cell.



Fe2RePRh | PBE | optimized geometry

Cell lengths 4.148, 4.148, 4.267 Å; angles 90.00, 90.00, 90.00 degrees
Each line ends with the local moment (μB).
Fractional positions:
Re: 0.500 0.500 0.500  1.39
Rh: 0.000 0.000 0.500  0.33
Fe: 0.000 0.500 0.000  2.07
Fe: 0.500 0.000 0.000  2.07
P: 0.000 0.000 0.000  -0.05

Properties
The value obtained for the formation energy is 690 meV/atom. The value obtained for the total energy is -38.68 eV per cell.



FeRePS2 | PBE | optimized geometry

Cell lengths 4.295, 4.295, 4.343 Å; angles 90.00, 90.00, 90.00 degrees
Each line ends with the local moment (μB).
Fractional positions:
Re: 0.500 0.500 0.500  -2.01
S: 0.000 0.500 0.000  0.14
S: 0.500 0.000 0.000  0.14
Fe: 0.000 0.000 0.000  1.14
P: 0.000 0.000 0.500  0.09

Properties
Its formation energy (no corrections) is 1.069 eV/atom. The calculation puts the excess energy over the best structure of this formula in the dataset at 0.00 eV per formula unit. The value obtained for the total energy is -29.23 eV per cell.